A.
# TmCdGa2 PBE-GGA relaxed
# SG   Fm-3m, No. 225
# Magnetic moment   0.0 μB/cell
data_TmCdGa2
_chemical_formula_sum 'Tm1 Cd1 Ga2'
_space_group_name_H-M_alt 'P 1'
_space_group_IT_number 1
_cell_length_a 4.9146
_cell_length_b 4.9146
_cell_length_c 4.9146
_cell_angle_alpha 60.00
_cell_angle_beta 60.00
_cell_angle_gamma 60.00
loop_
_space_group_symop_operation_xyz
'x,y,z'
loop_
_atom_site_label
_atom_site_fract_x
_atom_site_fract_y
_atom_site_fract_z
Tm1 0.0000 0.0000 0.0000
Ga1 0.2500 0.2500 0.2500
Ga2 0.7500 0.7500 0.7500
Cd1 0.5000 0.5000 0.5000

=====

B.
# TmCdGa2 PBE-GGA relaxed
# SG   Pnma, No. 62
# Magnetic moment   0.0 μB/cell
data_TmCdGa2
_chemical_formula_sum 'Tm4 Cd4 Ga8'
_space_group_name_H-M_alt 'P 1'
_space_group_IT_number 1
_cell_length_a 4.1433
_cell_length_b 7.7474
_cell_length_c 10.4970
_cell_angle_alpha 90.00
_cell_angle_beta 90.00
_cell_angle_gamma 90.00
loop_
_space_group_symop_operation_xyz
'x,y,z'
loop_
_atom_site_label
_atom_site_fract_x
_atom_site_fract_y
_atom_site_fract_z
Tm1 0.7500 0.8564 0.1413
Tm2 0.2500 0.1436 0.8587
Tm3 0.7500 0.3564 0.3587
Tm4 0.2500 0.6436 0.6413
Cd1 0.2500 0.4909 0.1092
Cd2 0.2500 0.9909 0.3908
Cd3 0.7500 0.5091 0.8908
Cd4 0.7500 0.0091 0.6092
Ga1 0.7500 0.8626 0.8346
Ga2 0.2500 0.1374 0.1654
Ga3 0.7500 0.3626 0.6654
Ga4 0.2500 0.6374 0.3346
Ga5 0.7500 0.7334 0.4464
Ga6 0.2500 0.7666 0.9464
Ga7 0.7500 0.2334 0.0536
Ga8 0.2500 0.2666 0.5536

=====

C.
# TmCdGa2 PBE-GGA relaxed
# SG   R-3m, No. 166
# Magnetic moment   0.0 μB/cell
data_TmCdGa2
_chemical_formula_sum 'Tm1 Cd1 Ga2'
_space_group_name_H-M_alt 'P 1'
_space_group_IT_number 1
_cell_length_a 4.4631
_cell_length_b 4.4631
_cell_length_c 5.5736
_cell_angle_alpha 66.40
_cell_angle_beta 66.40
_cell_angle_gamma 60.00
loop_
_space_group_symop_operation_xyz
'x,y,z'
loop_
_atom_site_label
_atom_site_fract_x
_atom_site_fract_y
_atom_site_fract_z
Tm1 0.0000 0.0000 0.0000
Ga1 0.7678 0.7678 0.6967
Ga2 0.2322 0.2322 0.3033
Cd1 0.5000 0.5000 0.5000

=====

Stability ranking, top and bottom: B is the most stable and A is the least stable.

=====

A.
# Tm4CdGa2 PBE-GGA relaxed
# SG   R-3m, No. 166
# Magnetic moment   0.0 μB/cell
data_Tm4CdGa2
_chemical_formula_sum 'Tm4 Cd1 Ga2'
_space_group_name_H-M_alt 'P 1'
_space_group_IT_number 1
_cell_length_a 4.9351
_cell_length_b 4.9351
_cell_length_c 9.3217
_cell_angle_alpha 74.65
_cell_angle_beta 74.65
_cell_angle_gamma 60.00
loop_
_space_group_symop_operation_xyz
'x,y,z'
loop_
_atom_site_label
_atom_site_fract_x
_atom_site_fract_y
_atom_site_fract_z
Tm1 0.3819 0.3819 0.8544
Tm2 0.2062 0.2062 0.3813
Tm3 0.7938 0.7938 0.6187
Tm4 0.6181 0.6181 0.1456
Cd1 0.0000 0.0000 0.0000
Ga1 0.0987 0.0987 0.7040
Ga2 0.9013 0.9013 0.2960

=====

B.
# Tm4CdGa2 PBE-GGA relaxed
# SG   R-3m, No. 166
# Magnetic moment   0.0 μB/cell
data_Tm4CdGa2
_chemical_formula_sum 'Tm4 Cd1 Ga2'
_space_group_name_H-M_alt 'P 1'
_space_group_IT_number 1
_cell_length_a 5.0050
_cell_length_b 5.0050
_cell_length_c 8.5655
_cell_angle_alpha 73.01
_cell_angle_beta 73.01
_cell_angle_gamma 60.00
loop_
_space_group_symop_operation_xyz
'x,y,z'
loop_
_atom_site_label
_atom_site_fract_x
_atom_site_fract_y
_atom_site_fract_z
Tm1 0.8698 0.8698 0.3905
Tm2 0.1302 0.1302 0.6095
Tm3 0.6170 0.6170 0.1491
Tm4 0.3830 0.3830 0.8509
Ga1 0.7485 0.7485 0.7546
Ga2 0.2515 0.2515 0.2454
Cd1 0.0000 0.0000 0.0000

=====

Stability ranking, top and bottom: B is the most stable and A is the least stable.

=====

A.
# YTmCdGa PBE-GGA relaxed
# SG   F-43m, No. 216
# Magnetic moment   0.0 μB/cell
data_YTmCdGa
_chemical_formula_sum 'Y1 Tm1 Cd1 Ga1'
_space_group_name_H-M_alt 'P 1'
_space_group_IT_number 1
_cell_length_a 5.1478
_cell_length_b 5.1478
_cell_length_c 5.1478
_cell_angle_alpha 60.00
_cell_angle_beta 60.00
_cell_angle_gamma 60.00
loop_
_space_group_symop_operation_xyz
'x,y,z'
loop_
_atom_site_label
_atom_site_fract_x
_atom_site_fract_y
_atom_site_fract_z
Y1 0.7500 0.7500 0.7500
Tm1 0.2500 0.2500 0.2500
Ga1 0.5000 0.5000 0.5000
Cd1 0.0000 0.0000 0.0000

=====

B.
# YTmCdGa PBE-GGA relaxed
# SG   P4mm, No. 99
# Magnetic moment   0.0 μB/cell
data_YTmCdGa
_chemical_formula_sum 'Y1 Tm1 Cd1 Ga1'
_space_group_name_H-M_alt 'P 1'
_space_group_IT_number 1
_cell_length_a 3.6119
_cell_length_b 3.6119
_cell_length_c 7.3704
_cell_angle_alpha 90.00
_cell_angle_beta 90.00
_cell_angle_gamma 90.00
loop_
_space_group_symop_operation_xyz
'x,y,z'
loop_
_atom_site_label
_atom_site_fract_x
_atom_site_fract_y
_atom_site_fract_z
Y1 0.0000 0.0000 0.8419
Tm1 0.0000 0.0000 0.3717
Cd1 0.5000 0.5000 0.1137
Ga1 0.5000 0.5000 0.6007

=====

Stability ranking, top and bottom: B is the most stable and A is the least stable.

=====

A.
# VCd3Ga PBE-GGA relaxed
# SG   Pm-3m, No. 221
# Magnetic moment   4.0 μB/cell
data_VCd3Ga
_chemical_formula_sum 'V1 Cd3 Ga1'
_space_group_name_H-M_alt 'P 1'
_space_group_IT_number 1
_cell_length_a 5.3218
_cell_length_b 5.3218
_cell_length_c 5.3218
_cell_angle_alpha 90.00
_cell_angle_beta 90.00
_cell_angle_gamma 90.00
loop_
_space_group_symop_operation_xyz
'x,y,z'
loop_
_atom_site_label
_atom_site_fract_x
_atom_site_fract_y
_atom_site_fract_z
Cd1 0.0000 0.5000 0.0000
Cd2 0.0000 0.0000 0.5000
Cd3 0.5000 0.0000 0.0000
Ga1 0.5000 0.5000 0.5000
V1 0.0000 0.0000 0.0000

=====

B.
# VCd3Ga PBE-GGA relaxed
# SG   Pm-3m, No. 221
# Magnetic moment   3.8 μB/cell
data_VCd3Ga
_chemical_formula_sum 'V1 Cd3 Ga1'
_space_group_name_H-M_alt 'P 1'
_space_group_IT_number 1
_cell_length_a 5.0849
_cell_length_b 5.0849
_cell_length_c 5.0849
_cell_angle_alpha 90.00
_cell_angle_beta 90.00
_cell_angle_gamma 90.00
loop_
_space_group_symop_operation_xyz
'x,y,z'
loop_
_atom_site_label
_atom_site_fract_x
_atom_site_fract_y
_atom_site_fract_z
Cd1 0.0000 0.5000 0.0000
Cd2 0.0000 0.0000 0.5000
Cd3 0.5000 0.0000 0.0000
Ga1 0.0000 0.0000 0.0000
V1 0.5000 0.5000 0.5000

=====

Stability ranking, top and bottom: A is the most stable and B is the least stable.

=====

A.
# CdGaW2 PBE-GGA relaxed
# SG   Fm-3m, No. 225
# Magnetic moment   0.0 μB/cell
data_CdGaW2
_chemical_formula_sum 'Cd1 Ga1 W2'
_space_group_name_H-M_alt 'P 1'
_space_group_IT_number 1
_cell_length_a 4.5366
_cell_length_b 4.5366
_cell_length_c 4.5366
_cell_angle_alpha 60.00
_cell_angle_beta 60.00
_cell_angle_gamma 60.00
loop_
_space_group_symop_operation_xyz
'x,y,z'
loop_
_atom_site_label
_atom_site_fract_x
_atom_site_fract_y
_atom_site_fract_z
Ga1 0.0000 0.0000 0.0000
W1 0.2500 0.2500 0.2500
W2 0.7500 0.7500 0.7500
Cd1 0.5000 0.5000 0.5000

=====

B.
# CdGaW2 PBE-GGA relaxed
# SG   I-42d, No. 122
# Magnetic moment   0.0 μB/cell
data_CdGaW2
_chemical_formula_sum 'Cd2 Ga2 W4'
_space_group_name_H-M_alt 'P 1'
_space_group_IT_number 1
_cell_length_a 3.8334
_cell_length_b 3.8334
_cell_length_c 10.3091
_cell_angle_alpha 79.29
_cell_angle_beta 79.29
_cell_angle_gamma 90.00
loop_
_space_group_symop_operation_xyz
'x,y,z'
loop_
_atom_site_label
_atom_site_fract_x
_atom_site_fract_y
_atom_site_fract_z
Ga1 0.5000 0.5000 0.0000
Ga2 0.2500 0.7500 0.5000
W1 0.6082 0.1250 0.2500
W2 0.1418 0.6250 0.2500
W3 0.3750 0.3918 0.7500
W4 0.8750 0.8582 0.7500
Cd1 0.0000 0.0000 0.0000
Cd2 0.7500 0.2500 0.5000

=====

Stability ranking, top and bottom: B is the most stable and A is the least stable.

=====

A.
# CdGaW3 PBE-GGA relaxed
# SG   Pm-3m, No. 221
# Magnetic moment   0.2 μB/cell
data_CdGaW3
_chemical_formula_sum 'Cd1 Ga1 W3'
_space_group_name_H-M_alt 'P 1'
_space_group_IT_number 1
_cell_length_a 4.8481
_cell_length_b 4.8481
_cell_length_c 4.8481
_cell_angle_alpha 90.00
_cell_angle_beta 90.00
_cell_angle_gamma 90.00
loop_
_space_group_symop_operation_xyz
'x,y,z'
loop_
_atom_site_label
_atom_site_fract_x
_atom_site_fract_y
_atom_site_fract_z
Ga1 0.5000 0.5000 0.5000
W1 0.0000 0.5000 0.0000
W2 0.0000 0.0000 0.5000
W3 0.5000 0.0000 0.0000
Cd1 0.0000 0.0000 0.0000

=====

B.
# CdGaW3 PBE-GGA relaxed
# SG   Pm-3m, No. 221
# Magnetic moment   0.0 μB/cell
data_CdGaW3
_chemical_formula_sum 'Cd1 Ga1 W3'
_space_group_name_H-M_alt 'P 1'
_space_group_IT_number 1
_cell_length_a 4.6248
_cell_length_b 4.6248
_cell_length_c 4.6248
_cell_angle_alpha 90.00
_cell_angle_beta 90.00
_cell_angle_gamma 90.00
loop_
_space_group_symop_operation_xyz
'x,y,z'
loop_
_atom_site_label
_atom_site_fract_x
_atom_site_fract_y
_atom_site_fract_z
Ga1 0.0000 0.0000 0.0000
W1 0.0000 0.5000 0.0000
W2 0.0000 0.0000 0.5000
W3 0.5000 0.0000 0.0000
Cd1 0.5000 0.5000 0.5000

=====

Stability ranking, top and bottom: B is the most stable and A is the least stable.